# CsMnC2O6

An optimized crystal structure of CsMnC2O6 (PBE with a Hubbard U, Alexandria).

electronic total energy: -143.26 eV per cell

Cell lengths 7.606, 7.606, 6.421 Å; angles 102.48, 102.48, 104.14 degrees
Each line ends with the local moment (μB).
Sites, in units of the cell vectors:
O: 0.636 0.968 0.239  -0.04
O: 0.364 0.032 0.761  -0.04
O: 0.334 0.555 0.442  -0.01
O: 0.555 0.334 0.942  -0.01
O: 0.445 0.666 0.058  -0.01
O: 0.032 0.364 0.261  -0.04
O: 0.717 0.716 0.310  -0.07
O: 0.666 0.445 0.558  -0.01
O: 0.716 0.717 0.810  -0.07
O: 0.284 0.283 0.190  -0.07
O: 0.968 0.636 0.739  -0.04
O: 0.283 0.284 0.690  -0.07
Mn: 0.466 0.534 0.750  4.09
Mn: 0.534 0.466 0.250  4.09
Cs: 0.146 0.854 0.250  0.00
Cs: 0.854 0.146 0.750  0.00
C: 0.603 0.796 0.202  0.01
C: 0.204 0.397 0.298  0.01
C: 0.796 0.603 0.702  0.01
C: 0.397 0.204 0.798  0.01